Record 1
Material: CeSn6Pd12
Method: DFT, PBE-GGA
State: relaxed

Properties
ΔE_f: -8.57 eV/f.u.
Crystal system: trigonal

```
CeSn6Pd12
1.0
-0.6281 -7.5306 0.3821
3.3298 2.1269 6.4528
-7.0664 2.6836 0.3378
Ce Sn Pd
1 6 12
direct
0.0000 0.0000 0.0000
0.6958 0.2783 0.2783
0.2783 0.2783 0.6958
0.2783 0.6958 0.2783
0.7217 0.7217 0.3042
0.3042 0.7217 0.7217
0.7217 0.3042 0.7217
0.8827 0.1173 0.5000
0.8790 0.6348 0.6348
0.6348 0.6348 0.8790
0.3652 0.1210 0.3652
0.3652 0.3652 0.1210
0.1210 0.3652 0.3652
0.1173 0.5000 0.8827
0.5000 0.8827 0.1173
0.1173 0.8827 0.5000
0.8827 0.5000 0.1173
0.5000 0.1173 0.8827
0.6348 0.8790 0.6348
```

Record 2
Material: TaGaPd6
Method: DFT, PBE-GGA
State: relaxed

Properties
ΔE_f: -4.15 eV/f.u.
Crystal system: tetragonal

```
TaGaPd6
1.0
3.9506 0.0000 0.0000
0.0000 3.9506 0.0000
0.0000 0.0000 7.8675
Ta Ga Pd
1 1 6
direct
0.0000 0.0000 0.5000
0.0000 0.0000 0.0000
0.5000 0.5000 0.0000
0.5000 0.5000 0.5000
0.5000 0.0000 0.2542
0.5000 0.0000 0.7458
0.0000 0.5000 0.2542
0.0000 0.5000 0.7458
```

Record 3
Material: Pm2AlPd
Method: DFT, PBE-GGA
State: relaxed

Properties
ΔE_f: -0.01 eV/f.u.
Crystal system: trigonal

```
Pm2AlPd
1.0
3.4234 0.0000 0.0000
1.7117 2.9647 0.0000
1.7117 0.9882 10.2156
Al Pd Pm
1 1 2
direct
0.5000 0.5000 0.5000
0.0000 0.0000 0.0000
0.0879 0.0879 0.7363
0.9121 0.9121 0.2637
```

Record 4
Material: Ti3AlMo
Method: DFT, PBE-GGA
State: relaxed

Properties
ΔE_f: 5.67 eV/f.u.
Crystal system: cubic

```
Ti3AlMo
1.0
-0.9842 1.3051 -4.2970
-4.1271 -1.9969 0.3388
-1.7702 3.9300 1.5991
Mo Al Ti
1 1 3
direct
0.5000 0.5000 0.5000
0.0000 0.0000 0.0000
0.0000 0.5000 0.0000
0.0000 0.0000 0.5000
0.5000 0.0000 0.0000
```

Record 5
Material: LiCo2GeRh
Method: DFT, PBE-GGA
State: relaxed

Properties
ΔE_f: 3.68 eV/f.u.
Crystal system: tetragonal

```
LiCo2GeRh
1.0
3.8846 0.0000 0.0000
0.0000 4.1625 0.0000
0.0000 0.0000 3.8846
Co Ge Rh Li
2 1 1 1
direct
0.0000 0.0000 0.5000
0.5000 0.0000 0.0000
0.0000 0.5000 0.0000
0.5000 0.5000 0.5000
0.0000 0.0000 0.0000
```

Record 6
Material: SrTcP3
Method: DFT, PBE-GGA
State: relaxed

Properties
ΔE_f: 11.24 eV/f.u.
Crystal system: cubic

```
SrTcP3
1.0
-0.0537 -0.5363 -5.0998
-3.4406 -3.7779 0.4335
-3.8023 3.4261 -0.3203
Sr Tc P
1 1 3
direct
0.0000 0.0000 0.0000
0.5000 0.5000 0.5000
0.0000 0.5000 0.0000
0.0000 0.0000 0.5000
0.5000 0.0000 0.0000
```

Record 7
Material: Ca3La2HoTe6
Method: DFT, PBE-GGA
State: relaxed

Properties
Formation energy from raw total energies: -1533 meV/atom
Crystal system: monoclinic

```
Ca3La2HoTe6
1.0
4.4660 0.0000 0.0000
0.0000 9.0759 0.2413
-2.2330 -2.7001 9.4884
Ca La Ho Te
3 2 1 6
direct
0.5000 0.5000 0.0000
0.8308 0.1655 0.6616
0.1692 0.8345 0.3384
0.8315 0.6627 0.6631
0.1685 0.3373 0.3369
0.5000 0.0000 0.0000
0.3370 0.9249 0.6741
0.6628 0.5909 0.3255
0.6630 0.0751 0.3259
0.9977 0.2407 0.9953
0.0023 0.7593 0.0047
0.3372 0.4091 0.6745
```

Record 8
Material: PrBeO3
Method: DFT, PBE-GGA
State: relaxed

Properties
Formation energy from raw total energies: -2439 meV/atom
Crystal system: cubic

```
PrBeO3
1.0
-1.7075 0.4547 -3.2301
1.4107 -3.1843 -1.1940
-2.9411 -1.7914 1.3025
Pr Be O
1 1 3
direct
0.0000 0.0000 0.0000
0.5000 0.5000 0.5000
0.5000 0.5000 0.0000
0.5000 0.0000 0.5000
0.0000 0.5000 0.5000
```

Number 1: theoretical density 9.52 g cm⁻³, DFT total energy -5.307 eV per atom, N(E_F) 0.77 states/eV/atom. Number 2: theoretical density 12.02 g cm⁻³, DFT total energy -6.274 eV per atom, N(E_F) 0.16 states/eV/atom. Number 3: theoretical density 6.78 g cm⁻³, DFT total energy -4.611 eV per atom, N(E_F) 0.53 states/eV/atom. Number 4: theoretical density 4.55 g cm⁻³, DFT total energy -6.519 eV per atom, N(E_F) 1.81 states/eV/atom. Number 5: theoretical density 7.94 g cm⁻³, DFT total energy -4.884 eV per atom, N(E_F) 1.54 states/eV/atom. Number 6: theoretical density 3.43 g cm⁻³, DFT total energy -3.407 eV per atom, N(E_F) 2.58 states/eV/atom. Number 7: theoretical density 5.69 g cm⁻³, DFT total energy -4.807 eV per atom, N(E_F) 0.46 states/eV/atom. Number 8: theoretical density 6.58 g cm⁻³, DFT total energy -7.115 eV per atom, N(E_F) 0.63 states/eV/atom.